{
  "formula": "YSBrN2",
  "functional": "PBE",
  "state": "relaxed",
  "lattice": [[-0.032, -0.533, 4.033], [2.261, -3.356, -0.425], [3.975, 2.630, 0.379]],
  "species": ["Y", "S", "Br", "N", "N"],
  "frac_coords": [[0.500, 0.500, 0.500], [0.000, 0.000, 0.500], [0.000, 0.000, 0.000], [0.000, 0.500, 0.000], [0.500, 0.000, 0.000]],
  "e_form_raw_ev_per_atom": 0.98,
  "de_polymorph_kcal_per_mol_atoms": 2.226
}

{
  "formula": "ZrSBrN2",
  "functional": "PBE",
  "state": "relaxed",
  "lattice": [[-3.741, 0.947, 0.930], [-0.262, -3.253, 2.260], [1.530, 2.433, 3.679]],
  "species": ["S", "Br", "Zr", "N", "N"],
  "frac_coords": [[0.000, 0.000, 0.500], [0.000, 0.000, 0.000], [0.500, 0.500, 0.500], [0.000, 0.500, 0.000], [0.500, 0.000, 0.000]],
  "e_form_raw_ev_per_atom": 1.41,
  "de_polymorph_kcal_per_mol_atoms": 18.060
}

{
  "formula": "ZrS2BrN",
  "functional": "PBE",
  "state": "relaxed",
  "lattice": [[5.122, 0.000, 0.000], [0.000, 5.122, 0.000], [0.000, 0.000, 4.239]],
  "species": ["S", "S", "Br", "Zr", "N"],
  "frac_coords": [[0.000, 0.500, 0.000], [0.500, 0.000, 0.000], [0.500, 0.500, 0.500], [0.000, 0.000, 0.000], [0.000, 0.000, 0.500]],
  "e_form_raw_ev_per_atom": 0.20,
  "de_polymorph_kcal_per_mol_atoms": 0.000
}

{
  "formula": "ZrS2BrN",
  "functional": "PBE",
  "state": "relaxed",
  "lattice": [[-2.167, 4.034, -1.541], [-3.003, -2.016, -1.052], [-1.951, 0.623, 4.376]],
  "species": ["S", "S", "Br", "Zr", "N"],
  "frac_coords": [[0.000, 0.000, 0.500], [0.500, 0.000, 0.000], [0.000, 0.000, 0.000], [0.500, 0.500, 0.500], [0.000, 0.500, 0.000]],
  "e_form_raw_ev_per_atom": 1.05,
  "de_polymorph_kcal_per_mol_atoms": 19.602
}